## AcYCu2 (PBE)

Data for AcYCu2 after structural relaxation.

Lattice parameters (Å, degrees): 4.0055 4.5151 5.8590 90.00 109.76 90.00
Space group Pm (No. 6)
Symmetry-distinct sites (fractional):
Ac  0.0000  0.0000  0.0000 [1 per cell]
Y  0.2816  0.5000  0.5626 [1 per cell]
Cu  0.5894  0.5000  0.1777 [1 per cell]
Cu  0.7165  0.0000  0.4333 [1 per cell]

Output
M_tot ... 0.00 μB per cell
VASP energy ... -19.4 eV per formula unit
Energy relative to the lowest polymorph listed for this composition ... 0 meV per atom